(1)
Sm6CdPt: relaxed, GGA-PBE.

Calculated values
**DFT formation energy**: -0.1103 eV per atom
**Space group**: P-1, No. 2

Cell lengths 7.1002, 7.1574, 7.4942 Å; angles 61.93, 62.33, 60.01 degrees
Closest atoms and distances in Å follow each position.
Atoms (fractional coordinates):
Sm 0.0429 0.4264 0.7522  1 Pt 2.82, 1 Cd 3.08
Sm 0.7776 0.0385 0.7508  1 Pt 2.81, 1 Cd 3.07
Sm 0.5734 0.2194 0.2492  1 Pt 2.81, 1 Cd 3.07
Sm 0.2224 0.9615 0.2492  1 Pt 2.81, 1 Cd 3.07
Sm 0.9571 0.5736 0.2478  1 Pt 2.82, 1 Cd 3.08
Sm 0.4266 0.7806 0.7508  1 Pt 2.81, 1 Cd 3.07
Cd 0.5000 0.5000 0.5000  6 Sm 3.07-3.08
Pt 0.0000 0.0000 0.0000  6 Sm 2.81-2.82

(2)
AlCdTe2: relaxed, GGA-PBE.

Calculated values
**Space group**: Pmmm, No. 47
**Formation energy from raw total energies**: 83 kJ/mol of formula units

Cell lengths 3.7170, 5.0050, 5.7885 Å; angles 90.00, 90.00, 90.00 degrees
Closest atoms and distances in Å follow each position.
Atoms (fractional coordinates):
Te 0.0000 0.0000 0.0000  4 Te 3.12, 4 Al 3.44
Te 0.5000 0.5000 0.0000  4 Te 3.12, 4 Cd 3.44
Al 0.5000 0.0000 0.5000  4 Cd 3.12, 4 Te 3.44
Cd 0.0000 0.5000 0.5000  4 Al 3.12, 4 Te 3.44

(3)
Ce5ErGa6: relaxed, GGA-PBE.

Calculated values
**DFT formation energy**: -0.4725 eV per atom
**Space group**: Cmmm, No. 65

Cell lengths 5.1172, 7.2492, 8.1152 Å; angles 90.00, 71.62, 90.00 degrees
Closest atoms and distances in Å follow each position.
Atoms (fractional coordinates):
Ga 0.8382 0.7571 0.3236  1 Er 3.05, 7 Ce 3.11-3.18
Ga 0.8382 0.2429 0.3236  1 Er 3.05, 7 Ce 3.11-3.18
Ga 0.5000 0.2478 0.0000  6 Ce 3.12-3.24, 2 Er 3.13
Ga 0.5000 0.7522 0.0000  6 Ce 3.12-3.24, 2 Er 3.13
Ga 0.1618 0.7571 0.6764  1 Er 3.05, 7 Ce 3.11-3.18
Ga 0.1618 0.2429 0.6764  1 Er 3.05, 7 Ce 3.11-3.18
Ce 0.6739 0.5000 0.6522  8 Ga 3.14-3.24, 2 Ce 3.47
Ce 0.3341 0.0000 0.3318  8 Ga 3.11-3.18
Ce 0.0000 0.5000 0.0000  8 Ga 3.11-3.14
Ce 0.6659 0.0000 0.6682  8 Ga 3.11-3.18
Ce 0.3261 0.5000 0.3478  8 Ga 3.14-3.24, 2 Ce 3.47
Er 0.0000 0.0000 0.0000  8 Ga 3.05-3.13

(4)
TbMn3Ga3: relaxed, GGA-PBE.

Calculated values
**DFT formation energy**: 0.4284 eV per atom
**Space group**: Pm-3n, No. 223

Cell lengths 6.6981, 6.6981, 6.6981 Å; angles 90.00, 90.00, 90.00 degrees
Closest atoms and distances in Å follow each position.
Atoms (fractional coordinates):
Mn 0.2500 0.0000 0.5000  4 Ga 2.37
Mn 0.0000 0.5000 0.2500  4 Ga 2.37
Mn 0.5000 0.7500 0.0000  4 Ga 2.37
Mn 0.7500 0.0000 0.5000  4 Ga 2.37
Mn 0.0000 0.5000 0.7500  4 Ga 2.37
Mn 0.5000 0.2500 0.0000  4 Ga 2.37
Tb 0.5000 0.5000 0.5000  12 Mn 3.74, 12 Ga 3.74
Tb 0.0000 0.0000 0.0000  12 Mn 3.74, 12 Ga 3.74
Ga 0.0000 0.2500 0.5000  4 Mn 2.37
Ga 0.0000 0.7500 0.5000  4 Mn 2.37
Ga 0.5000 0.0000 0.7500  4 Mn 2.37
Ga 0.7500 0.5000 0.0000  4 Mn 2.37
Ga 0.5000 0.0000 0.2500  4 Mn 2.37
Ga 0.2500 0.5000 0.0000  4 Mn 2.37

(5)
ZrBiB2Rh: relaxed, GGA-PBE.

Calculated values
**DFT formation energy**: 1.6274 eV per atom
**Space group**: P4/mmm, No. 123

Cell lengths 4.3887, 5.6149, 4.3887 Å; angles 90.00, 90.00, 90.00 degrees
Closest atoms and distances in Å follow each position.
Atoms (fractional coordinates):
B 0.0000 0.0000 0.5000  2 Zr 2.19
B 0.5000 0.0000 0.0000  2 Zr 2.19
Rh 0.5000 0.5000 0.5000  4 Bi 3.10
Bi 0.0000 0.5000 0.0000  2 Zr 2.81, 4 Rh 3.10
Zr 0.0000 0.0000 0.0000  4 B 2.19

(6)
LiCa2UTe4: relaxed, GGA-PBE.

Calculated values
**Space group**: P2/m, No. 10
**Formation energy from raw total energies**: -897 kJ/mol of formula units

Cell lengths 4.4358, 7.7046, 7.7052 Å; angles 109.06, 90.00, 90.00 degrees
Closest atoms and distances in Å follow each position.
Atoms (fractional coordinates):
Li 0.5000 0.5000 0.0000  6 Te 3.08-3.10
Ca 0.5000 0.0000 0.5000  6 Te 3.19
Ca 0.0000 0.5000 0.5000  6 Te 3.17
U 0.0000 0.0000 0.0000  6 Te 3.11-3.13
Te 0.5000 0.2517 0.2430  1 Li 3.08, 2 U 3.13, 3 Ca 3.17-3.19
Te 0.5000 0.7483 0.7570  1 Li 3.08, 2 U 3.13, 3 Ca 3.17-3.19
Te 0.0000 0.2548 0.7593  2 Li 3.10, 1 U 3.11, 3 Ca 3.17-3.19
Te 0.0000 0.7452 0.2407  2 Li 3.10, 1 U 3.11, 3 Ca 3.17-3.19

(7)
Cu2PdI8: relaxed, GGA-PBE.

Calculated values
**Space group**: C2/m, No. 12
**Formation energy from raw total energies**: -56 kJ/mol of formula units

Cell lengths 7.6190, 7.9439, 7.9439 Å; angles 103.49, 88.55, 88.55 degrees
Closest atoms and distances in Å follow each position.
Atoms (fractional coordinates):
I 0.7804 0.9500 0.2500  1 Cu 2.59, 1 Pd 2.67
I 0.2196 0.7500 0.0500  1 Cu 2.59, 1 Pd 2.67
I 0.7492 0.7358 0.7358  1 Cu 2.58
I 0.2508 0.2642 0.2642  1 Cu 2.58
I 0.7804 0.2500 0.9500  1 Cu 2.59, 1 Pd 2.67
I 0.2196 0.0500 0.7500  1 Cu 2.59, 1 Pd 2.67
I 0.2518 0.5583 0.5583  1 Cu 2.67, 1 I 2.89
I 0.7482 0.4417 0.4417  1 Cu 2.67, 1 I 2.89
Pd 0.0000 0.0000 0.0000  4 I 2.67
Cu 0.4156 0.7931 0.7931  4 I 2.58-2.67
Cu 0.5844 0.2069 0.2069  4 I 2.58-2.67

(8)
SrLiY2: relaxed, GGA-PBE.

Calculated values
**DFT formation energy**: 0.3297 eV per atom
**Space group**: Fm-3m, No. 225

Cell lengths 5.7300, 5.7300, 5.7300 Å; angles 60.00, 60.00, 60.00 degrees
Closest atoms and distances in Å follow each position.
Atoms (fractional coordinates):
Y 0.2500 0.2500 0.2500  4 Li 3.51, 4 Sr 3.51
Y 0.7500 0.7500 0.7500  4 Li 3.51, 4 Sr 3.51
Sr 0.5000 0.5000 0.5000  8 Y 3.51
Li 0.0000 0.0000 0.0000  8 Y 3.51

(9)
TbNpBiO6: relaxed, GGA-PBE.

Calculated values
**Space group**: P-31c, No. 163
**Formation energy from raw total energies**: -2215 kJ/mol of formula units

Cell lengths 5.8248, 5.8248, 9.5574 Å; angles 90.00, 90.00, 120.00 degrees
Closest atoms and distances in Å follow each position.
Atoms (fractional coordinates):
Tb 0.3333 0.6667 0.2500  6 O 2.30
Tb 0.6667 0.3333 0.7500  6 O 2.30
Np 0.6667 0.3333 0.2500  6 O 2.08
Np 0.3333 0.6667 0.7500  6 O 2.08
Bi 0.0000 0.0000 0.0000  6 O 2.42
Bi 0.0000 0.0000 0.5000  6 O 2.42
O 0.6628 0.6354 0.1353  1 Np 2.08, 1 Tb 2.30
O 0.9726 0.3372 0.1353  1 Np 2.08, 1 Tb 2.30
O 0.3372 0.9726 0.6353  1 Np 2.08, 1 Tb 2.30
O 0.0274 0.6628 0.8647  1 Np 2.08, 1 Tb 2.30
O 0.3646 0.3372 0.3647  1 Np 2.08, 1 Tb 2.30
O 0.9726 0.6354 0.3647  1 Np 2.08, 1 Tb 2.30
O 0.6354 0.9726 0.8647  1 Np 2.08, 1 Tb 2.30
O 0.6628 0.0274 0.3647  1 Np 2.08, 1 Tb 2.30
O 0.0274 0.3646 0.6353  1 Np 2.08, 1 Tb 2.30
O 0.3646 0.0274 0.1353  1 Np 2.08, 1 Tb 2.30
O 0.6354 0.6628 0.6353  1 Np 2.08, 1 Tb 2.30
O 0.3372 0.3646 0.8647  1 Np 2.08, 1 Tb 2.30

(10)
Ce2Hg2I7: relaxed, GGA-PBE.

Calculated values
**Space group**: Imm2, No. 44
**Formation energy from raw total energies**: -1031 kJ/mol of formula units

Cell lengths 4.1482, 11.3344, 11.3344 Å; angles 89.88, 79.46, 79.46 degrees
Closest atoms and distances in Å follow each position.
Atoms (fractional coordinates):
Ce 0.7013 0.8754 0.7220  7 I 3.14-3.23
Ce 0.2987 0.2780 0.1246  7 I 3.14-3.23
Hg 0.0000 0.7861 0.2139  6 I 3.83-4.13, 2 Hg 4.15
Hg 0.5000 0.3949 0.6051  2 Hg 4.15, 6 I 4.17-4.18
I 0.8015 0.1269 0.2700  2 Ce 3.15
I 0.8731 0.3323 0.9215  2 Ce 3.14
I 0.5000 0.0241 0.9759  2 Ce 3.23
I 0.6463 0.4675 0.2399  2 Ce 3.20
I 0.3537 0.7601 0.5325  2 Ce 3.20
I 0.1985 0.7300 0.8731  2 Ce 3.15
I 0.1269 0.0785 0.6677  2 Ce 3.14

(11)
NaHfScV2: relaxed, GGA-PBE.

Calculated values
**DFT formation energy**: 1.6932 eV per atom
**Space group**: P4/mmm, No. 123

Cell lengths 4.7703, 4.9432, 4.7703 Å; angles 90.00, 90.00, 90.00 degrees
Closest atoms and distances in Å follow each position.
Atoms (fractional coordinates):
Sc 0.5000 0.5000 0.5000  4 Hf 3.37, 8 V 3.43
Na 0.0000 0.0000 0.0000  4 V 2.39, 2 Hf 2.47
Hf 0.0000 0.5000 0.0000  2 Na 2.47
V 0.0000 0.0000 0.5000  2 Na 2.39
V 0.5000 0.0000 0.0000  2 Na 2.39

(12)
LiTaFe2: relaxed, GGA-PBE.

Calculated values
**DFT formation energy**: 0.3224 eV per atom
**Space group**: Cmm2, No. 35

Cell lengths 2.6251, 2.6251, 8.1677 Å; angles 90.00, 90.00, 90.18 degrees
Closest atoms and distances in Å follow each position.
Atoms (fractional coordinates):
Fe 0.0000 0.0000 0.0320  8 Fe 2.41-2.63
Fe 0.5000 0.5000 0.2200  8 Fe 2.41-2.63
Li 0.0000 0.0000 0.4691  4 Li 2.63, 4 Fe 2.75-2.76
Ta 0.5000 0.5000 0.7789  4 Ta 2.63, 4 Fe 2.78

Please write out number 1 again, unchanged.
Sm6CdPt: relaxed, GGA-PBE.

Calculated values
**DFT formation energy**: -0.1103 eV per atom
**Space group**: P-1, No. 2

Cell lengths 7.1002, 7.1574, 7.4942 Å; angles 61.93, 62.33, 60.01 degrees
Closest atoms and distances in Å follow each position.
Atoms (fractional coordinates):
Sm 0.0429 0.4264 0.7522  1 Pt 2.82, 1 Cd 3.08
Sm 0.7776 0.0385 0.7508  1 Pt 2.81, 1 Cd 3.07
Sm 0.5734 0.2194 0.2492  1 Pt 2.81, 1 Cd 3.07
Sm 0.2224 0.9615 0.2492  1 Pt 2.81, 1 Cd 3.07
Sm 0.9571 0.5736 0.2478  1 Pt 2.82, 1 Cd 3.08
Sm 0.4266 0.7806 0.7508  1 Pt 2.81, 1 Cd 3.07
Cd 0.5000 0.5000 0.5000  6 Sm 3.07-3.08
Pt 0.0000 0.0000 0.0000  6 Sm 2.81-2.82